The following is a DFT calculation (PBE) of an optimized crystal structure of PmDy5Y8.

Calculated values
Symmetry: I-4 (82)
Theoretical density, g/cm3: 6.0
DOS(E_F), states/eV/atom: 1.5904
Electronic total energy, eV per atom: -5.432

Structure (POSCAR):
```
PmDy5Y8
1.0
-4.768 4.768 5.107
4.768 -4.768 5.107
4.768 4.768 -5.107
Pm Dy Y
1 5 8
Cartesian
0.000 0.000 0.000
2.757 -1.055 3.306
3.713 2.011 1.801
2.011 5.824 -1.801
0.000 4.768 2.553
1.055 2.757 6.908
6.429 0.811 -0.032
4.085 3.072 -1.538
0.811 3.108 0.032
0.684 1.697 3.569
1.697 -0.684 6.645
3.957 1.661 5.139
3.072 5.452 1.538
-1.661 3.957 5.075
```

***

The following is a DFT calculation (PBE) of an optimized crystal structure of GaAs2RhBr.

Calculated values
Symmetry: P4/mmm (123)
Theoretical density, g/cm3: 5.7
DOS(E_F), states/eV/atom: 0.8520
Distance to the lowest polymorph of the same formula, eV per atom: 0.709
E_form (uncorrected), eV per atom: 0.9429

Structure (POSCAR):
```
GaAs2RhBr
1.0
4.845 0.000 0.000
0.000 4.845 0.000
0.000 0.000 5.016
Ga As Rh Br
1 2 1 1
Cartesian
0.000 0.000 0.000
0.000 2.422 0.000
2.422 0.000 0.000
2.422 2.422 2.508
0.000 0.000 2.508
```

***

The following is a DFT calculation (PBE) of an optimized crystal structure of Ta2Ni2Hg.

Calculated values
Symmetry: P4/mbm (127)
Theoretical density, g/cm3: 14.5
DOS(E_F), states/eV/atom: 1.0896
Distance to the lowest polymorph of the same formula, eV per atom: 0.000

Structure (POSCAR):
```
Ta2Ni2Hg
1.0
7.007 0.000 0.000
0.000 7.007 0.000
0.000 0.000 3.176
Ta Ni Hg
4 4 2
Cartesian
1.183 2.320 0.000
2.320 5.824 0.000
4.687 1.183 0.000
5.824 4.687 0.000
0.868 4.371 1.588
2.636 0.868 1.588
4.371 6.140 1.588
6.140 2.636 1.588
0.000 0.000 1.588
3.504 3.504 1.588
```

***

The following is a DFT calculation (PBE) of an optimized crystal structure of TbGa2Cu4.

Calculated values
Symmetry: P4_2/mnm (136)
Theoretical density, g/cm3: 8.4
DOS(E_F), states/eV/atom: 0.4732
Distance to the lowest polymorph of the same formula, eV per atom: 0.000

Structure (POSCAR):
```
TbGa2Cu4
1.0
7.325 0.000 0.000
0.000 7.325 0.000
0.000 0.000 4.049
Tb Ga Cu
2 4 8
Cartesian
0.000 0.000 0.000
3.662 3.662 2.025
1.554 1.554 2.025
2.109 5.216 0.000
5.216 2.109 0.000
5.771 5.771 2.025
0.702 4.731 2.025
1.068 2.960 0.000
2.594 6.623 2.025
2.960 1.068 0.000
4.365 6.257 0.000
4.731 0.702 2.025
6.257 4.365 0.000
6.623 2.594 2.025
```

***

The following is a DFT calculation (PBE) of an optimized crystal structure of Li2CoBr.

Calculated values
Symmetry: Cmmm (65)
Theoretical density, g/cm3: 3.8
DOS(E_F), states/eV/atom: 0.1178
Distance to the lowest polymorph of the same formula, eV per atom: 0.092
E_form (uncorrected), eV per atom: -0.0424

Structure (POSCAR):
```
Li2CoBr
1.0
6.195 0.000 0.000
0.000 6.205 0.000
0.000 0.000 3.451
Li Co Br
4 2 2
Cartesian
1.549 1.551 0.000
1.549 4.653 0.000
4.646 1.551 0.000
4.646 4.653 0.000
0.000 0.000 1.726
3.097 3.102 1.726
0.000 3.102 1.726
3.097 0.000 1.726
```

***

The following is a DFT calculation (PBE) of an optimized crystal structure of Dy2Tm3Th.

Calculated values
Symmetry: C2/m (12)
Theoretical density, g/cm3: 9.5
DOS(E_F), states/eV/atom: 1.5104
Distance to the lowest polymorph of the same formula, eV per atom: 0.000

Structure (POSCAR):
```
Dy2Tm3Th
1.0
5.574 -2.497 0.000
5.574 2.497 0.000
-4.427 0.000 13.382
Dy Tm Th
4 6 2
Cartesian
-1.630 0.000 4.996
-0.534 0.000 1.705
7.255 0.000 11.677
8.351 0.000 8.386
1.660 0.000 6.114
2.786 0.000 2.792
-0.522 0.000 12.814
7.242 0.000 0.568
3.934 0.000 10.590
5.060 0.000 7.268
0.567 0.000 9.488
6.153 0.000 3.894
```